Entry 1:
The following is a PBE-GGA calculation of MgSc2Be2Rh5 after structural relaxation, from the Alexandria database.

Results
**Symmetry**: No. 127
**Calculated formation energy**: -770 meV/atom

a = 9.5165 Å, b = 9.5165 Å, c = 3.1364 Å
α = 90.00°, β = 90.00°, γ = 90.00°
Fractional coordinates of all 20 atoms:
Mg 0.0000 0.0000 0.0000
Mg 0.5000 0.5000 0.0000
Sc 0.1753 0.3247 0.0000
Sc 0.3247 0.8247 0.0000
Sc 0.6753 0.1753 0.0000
Sc 0.8247 0.6753 0.0000
Be 0.1241 0.6241 0.0000
Be 0.3759 0.1241 0.0000
Be 0.6241 0.8759 0.0000
Be 0.8759 0.3759 0.0000
Rh 0.0000 0.5000 0.5000
Rh 0.0716 0.7872 0.5000
Rh 0.2128 0.0716 0.5000
Rh 0.2872 0.5716 0.5000
Rh 0.4284 0.2872 0.5000
Rh 0.5000 0.0000 0.5000
Rh 0.5716 0.7128 0.5000
Rh 0.7128 0.4284 0.5000
Rh 0.7872 0.9284 0.5000
Rh 0.9284 0.2128 0.5000

***

Entry 2:
The following is a PBE-GGA calculation of MgBe2Sn2Rh5 after structural relaxation, from the Alexandria database.

Results
**Symmetry**: No. 127
**Calculated formation energy**: -448 meV/atom

a = 9.4841 Å, b = 9.4841 Å, c = 3.1731 Å
α = 90.00°, β = 90.00°, γ = 90.00°
Fractional coordinates of all 20 atoms:
Mg 0.0000 0.0000 0.0000
Mg 0.5000 0.5000 0.0000
Be 0.1253 0.3747 0.0000
Be 0.3747 0.8747 0.0000
Be 0.6253 0.1253 0.0000
Be 0.8747 0.6253 0.0000
Sn 0.1738 0.6738 0.0000
Sn 0.3262 0.1738 0.0000
Sn 0.6738 0.8262 0.0000
Sn 0.8262 0.3262 0.0000
Rh 0.0000 0.5000 0.5000
Rh 0.0799 0.2073 0.5000
Rh 0.2073 0.9201 0.5000
Rh 0.2927 0.4201 0.5000
Rh 0.4201 0.7073 0.5000
Rh 0.5000 0.0000 0.5000
Rh 0.5799 0.2927 0.5000
Rh 0.7073 0.5799 0.5000
Rh 0.7927 0.0799 0.5000
Rh 0.9201 0.7927 0.5000

***

Entry 3:
The following is a PBE-GGA calculation of MgTaBeRh2 after structural relaxation, from the Alexandria database.

Results
**Symmetry**: No. 123
**Calculated formation energy**: 1336 meV/atom

a = 4.6725 Å, b = 4.6725 Å, c = 5.1843 Å
α = 90.00°, β = 90.00°, γ = 90.00°
Fractional coordinates of all 5 atoms:
Mg 0.0000 0.0000 0.0000
Ta 0.0000 0.0000 0.5000
Be 0.5000 0.5000 0.0000
Rh 0.0000 0.5000 0.5000
Rh 0.5000 0.0000 0.5000

***

Entry 4:
The following is a PBE-GGA calculation of Mg2TiBe2Rh5 after structural relaxation, from the Alexandria database.

Results
**Symmetry**: No. 127
**Calculated formation energy**: -622 meV/atom

a = 9.4914 Å, b = 9.4914 Å, c = 3.0520 Å
α = 90.00°, β = 90.00°, γ = 90.00°
Fractional coordinates of all 20 atoms:
Mg 0.1743 0.3257 0.0000
Mg 0.3257 0.8257 0.0000
Mg 0.6743 0.1743 0.0000
Mg 0.8257 0.6743 0.0000
Ti 0.0000 0.0000 0.0000
Ti 0.5000 0.5000 0.0000
Be 0.1237 0.6237 0.0000
Be 0.3763 0.1237 0.0000
Be 0.6237 0.8763 0.0000
Be 0.8763 0.3763 0.0000
Rh 0.0000 0.5000 0.5000
Rh 0.0703 0.7924 0.5000
Rh 0.2076 0.0703 0.5000
Rh 0.2924 0.5703 0.5000
Rh 0.4297 0.2924 0.5000
Rh 0.5000 0.0000 0.5000
Rh 0.5703 0.7076 0.5000
Rh 0.7076 0.4297 0.5000
Rh 0.7924 0.9297 0.5000
Rh 0.9297 0.2076 0.5000

***

Entry 5:
The following is a PBE-GGA calculation of MgTi2Be2Rh5 after structural relaxation, from the Alexandria database.

Results
**Symmetry**: No. 127
**Calculated formation energy**: -649 meV/atom

a = 9.2985 Å, b = 9.2985 Å, c = 3.1045 Å
α = 90.00°, β = 90.00°, γ = 90.00°
Fractional coordinates of all 20 atoms:
Mg 0.0000 0.0000 0.0000
Mg 0.5000 0.5000 0.0000
Ti 0.1763 0.3237 0.0000
Ti 0.3237 0.8237 0.0000
Ti 0.6763 0.1763 0.0000
Ti 0.8237 0.6763 0.0000
Be 0.1233 0.6233 0.0000
Be 0.3767 0.1233 0.0000
Be 0.6233 0.8767 0.0000
Be 0.8767 0.3767 0.0000
Rh 0.0000 0.5000 0.5000
Rh 0.0759 0.7894 0.5000
Rh 0.2106 0.0759 0.5000
Rh 0.2894 0.5759 0.5000
Rh 0.4241 0.2894 0.5000
Rh 0.5000 0.0000 0.5000
Rh 0.5759 0.7106 0.5000
Rh 0.7106 0.4241 0.5000
Rh 0.7894 0.9241 0.5000
Rh 0.9241 0.2106 0.5000

***

Entry 6:
The following is a PBE-GGA calculation of Tm2MgBe2Rh5 after structural relaxation, from the Alexandria database.

Results
**Symmetry**: No. 127
**Calculated formation energy**: -787 meV/atom

a = 9.6604 Å, b = 9.6604 Å, c = 3.2163 Å
α = 90.00°, β = 90.00°, γ = 90.00°
Fractional coordinates of all 20 atoms:
Tm 0.1762 0.3238 0.0000
Tm 0.3238 0.8238 0.0000
Tm 0.6762 0.1762 0.0000
Tm 0.8238 0.6762 0.0000
Mg 0.0000 0.0000 0.0000
Mg 0.5000 0.5000 0.0000
Be 0.1220 0.6220 0.0000
Be 0.3780 0.1220 0.0000
Be 0.6220 0.8780 0.0000
Be 0.8780 0.3780 0.0000
Rh 0.0000 0.5000 0.5000
Rh 0.0697 0.7851 0.5000
Rh 0.2149 0.0697 0.5000
Rh 0.2851 0.5697 0.5000
Rh 0.4303 0.2851 0.5000
Rh 0.5000 0.0000 0.5000
Rh 0.5697 0.7149 0.5000
Rh 0.7149 0.4303 0.5000
Rh 0.7851 0.9303 0.5000
Rh 0.9303 0.2149 0.5000

***

DOS(E_F) for the records above, in order: 0.40 0.40 0.79 0.44 0.48 0.42 states/eV per atom